1.
Computed, not measured: SrInGa after structural relaxation at the PBE level of DFT.

extended XYZ file:
```
6
Lattice="4.901 0.000 0.000 -2.450 4.244 0.000 0.000 0.000 7.994" Properties=species:S:1:pos:R:3 pbc="T T T"
Sr 0.000 0.000 1.905
Sr 0.000 0.000 6.089
In 0.000 2.829 3.621
In 2.450 1.415 4.372
Ga 0.000 2.829 0.331
Ga 2.450 1.415 7.663
```

Computed properties:
ρ (Mg/m³): 5.44
Formation energy from the elements (meV per atom): -435

2.
Computed, not measured: NdScTeAs after structural relaxation at the PBE level of DFT.

extended XYZ file:
```
12
Lattice="4.106 0.000 0.000 -2.053 3.556 0.000 0.000 0.000 21.927" Properties=species:S:1:pos:R:3 pbc="T T T"
Nd 0.000 0.000 0.000
Nd 0.000 2.370 14.618
Nd 2.053 1.185 7.309
Sc 0.000 0.000 4.161
Sc 0.000 2.370 18.779
Sc 2.053 1.185 11.470
Te 0.000 0.000 9.521
Te 0.000 2.370 2.212
Te 2.053 1.185 16.830
As 0.000 0.000 12.908
As 0.000 2.370 5.599
As 2.053 1.185 20.217
```

Computed properties:
ρ (Mg/m³): 6.10
Formation energy without anion corrections (kJ/mol of atoms): -129.9

3.
Computed, not measured: YSi2 after structural relaxation at the PBE level of DFT.

extended XYZ file:
```
12
Lattice="10.407 0.000 0.000 0.000 3.894 0.000 -1.434 0.000 5.860" Properties=species:S:1:pos:R:3 pbc="T T T"
Y 1.509 0.000 1.261
Y 2.260 1.947 4.599
Y 6.713 1.947 1.261
Y 7.464 0.000 4.599
Si -0.672 1.947 4.955
Si 0.100 0.000 3.835
Si 3.670 1.947 2.024
Si 4.442 0.000 0.905
Si 4.531 0.000 4.955
Si 5.303 1.947 3.835
Si 8.873 0.000 2.024
Si 9.645 1.947 0.905
```

Computed properties:
ρ (Mg/m³): 4.06
Formation energy without anion corrections (kJ/mol of atoms): -54.4